VASP calculation (PBE) on a geometry-optimized CsCoRe2Br structure.

Results
Symmetry: No. 123
Total magnetization (μB/atom): 0.8887
Raw total energy (eV per cell): -22.483
Calculated density (g cm⁻³): 9.96

Cell and atoms, written as POSCAR:
```
CsCoRe2Br
1.0
4.7814 0.0000 0.0000
0.0000 4.6989 0.0000
0.0000 0.0000 4.7814
Cs Re Co Br
1 2 1 1
Cartesian
2.3907 2.3494 2.3907
0.0000 0.0000 2.3907
2.3907 0.0000 0.0000
0.0000 2.3494 0.0000
0.0000 0.0000 0.0000
```

VASP calculation (PBE) on a geometry-optimized Zn5Si structure.

Results
Relative energy among the computed polymorphs (eV per formula unit): 1.03
Symmetry: No. 191
Total magnetization (μB/atom): 0.0000
Raw total energy (eV per cell): -10.087
Calculated density (g cm⁻³): 5.92

Cell and atoms, written as POSCAR:
```
Zn5Si
1.0
2.5769 -4.4633 0.0000
2.5769 4.4633 0.0000
0.0000 0.0000 4.3297
Zn Si
5 1
Cartesian
1.2884 2.2316 2.1649
2.5769 -1.4878 0.0000
2.5769 1.4878 0.0000
2.5769 0.0000 2.1649
1.2884 -2.2316 2.1649
0.0000 0.0000 0.0000
```

What are the formation energy without anion corrections values for these records? In order: 2409.0 284.3 meV per atom.